VASP calculation (PBE) on a relaxed ZrCrTe2 crystal.

Structure (extended XYZ):
```
4
Lattice="-3.087 1.632 -0.868 -1.848 -2.777 1.349 -0.115 3.146 6.320" Properties=species:S:1:pos:R:3 pbc="T T T"
Cr -2.554 1.787 4.980
Te -0.001 0.023 0.047
Te -0.057 1.550 3.113
Zr -2.496 0.214 1.820
```

Summary:
polymorph energy (0 for the lowest one) = 0.789 eV/f.u.



VASP calculation (PBE) on a relaxed FeCuBr6 crystal.

Structure (extended XYZ):
```
8
Lattice="-4.364 4.562 1.601 -5.100 -1.534 3.743 -0.133 2.287 6.429" Properties=species:S:1:pos:R:3 pbc="T T T"
Fe -4.799 2.657 5.887
Cu 0.000 0.000 0.000
Br -2.610 1.627 6.466
Br -3.930 4.921 6.425
Br -3.985 2.950 3.548
Br -5.667 0.393 5.349
Br -6.987 3.688 5.307
Br -5.612 2.365 8.226
```



VASP calculation (PBE) on a relaxed CuTcSbO6 crystal.

Structure (extended XYZ):
```
18
Lattice="-0.505 -0.320 -5.180 4.612 -0.962 2.234 -2.174 -8.679 0.748" Properties=species:S:1:pos:R:3 pbc="T T T"
Cu 0.000 0.000 0.000
Cu -1.087 -4.340 0.374
Tc 2.363 -2.918 -0.050
Tc -0.430 -7.044 -2.147
Sb 0.657 -2.704 -2.521
Sb 1.276 -7.258 0.324
O 2.385 -1.962 -1.764
O 1.375 -1.483 0.855
O -1.509 -5.597 -1.376
O 0.558 -8.479 -3.052
O 0.683 -3.667 -0.737
O 2.184 -3.834 1.677
O -2.174 -7.763 -2.689
O 3.443 -4.365 -0.822
O -0.251 -6.128 -3.874
O 4.107 -2.199 0.491
O 1.250 -6.295 -1.460
O -0.452 -8.000 -0.433
```



We obtain E_tot values of -6.340; -3.030; -6.435 eV/atom for the records listed above, in that order.
We obtain E_form (uncorrected) values of -226; -206; -1065 meV per atom for the records listed above, in that order.
We obtain spin magnetization values of 4.2; 3.1; 1.0 μB/f.u. for the records listed above, in that order.